1.
Below is a relaxed Co3W3N crystal, with properties calculated at the PBE level.

Output
E = -9.877 eV per atom
Space group = No. 227

Cell lengths 7.7940, 7.7940, 7.7940 Å; angles 60.00, 60.00, 60.00 degrees
Last column: nearest neighbours and their distance in Å.
Element x y z (fractional)
Co 0.0000 0.0000 0.0000  6 Co 2.40, 6 W 2.69
Co 0.0000 0.0000 0.5000  6 Co 2.40, 6 W 2.69
Co 0.0000 0.5000 0.0000  6 Co 2.40, 6 W 2.69
Co 0.1317 0.7894 0.7894  6 Co 2.40-2.67, 6 W 2.61-2.65
Co 0.2106 0.2106 0.2106  6 Co 2.40-2.67, 6 W 2.61-2.65
Co 0.2106 0.2106 0.8683  6 Co 2.40-2.67, 6 W 2.61-2.65
Co 0.2106 0.8683 0.2106  6 Co 2.40-2.67, 6 W 2.61-2.65
Co 0.5000 0.0000 0.0000  6 Co 2.40, 6 W 2.69
Co 0.7894 0.1317 0.7894  6 Co 2.40-2.67, 6 W 2.61-2.65
Co 0.7894 0.7894 0.1317  6 Co 2.40-2.67, 6 W 2.61-2.65
Co 0.7894 0.7894 0.7894  6 Co 2.40-2.67, 6 W 2.61-2.65
Co 0.8683 0.2106 0.2106  6 Co 2.40-2.67, 6 W 2.61-2.65
W 0.1680 0.1680 0.5820  2 N 2.15
W 0.1680 0.5820 0.1680  2 N 2.15
W 0.1680 0.5820 0.5820  2 N 2.15
W 0.4180 0.4180 0.8320  2 N 2.15
W 0.4180 0.8320 0.4180  2 N 2.15
W 0.4180 0.8320 0.8320  2 N 2.15
W 0.5820 0.1680 0.1680  2 N 2.15
W 0.5820 0.1680 0.5820  2 N 2.15
W 0.5820 0.5820 0.1680  2 N 2.15
W 0.8320 0.4180 0.4180  2 N 2.15
W 0.8320 0.4180 0.8320  2 N 2.15
W 0.8320 0.8320 0.4180  2 N 2.15
N 0.0000 0.5000 0.5000  6 W 2.15
N 0.5000 0.0000 0.5000  6 W 2.15
N 0.5000 0.5000 0.0000  6 W 2.15
N 0.5000 0.5000 0.5000  6 W 2.15

2.
Below is a relaxed AlFe3H crystal, with properties calculated at the PBE level.

Output
E = -6.586 eV per atom
Space group = No. 221

Cell lengths 3.6648, 3.6648, 3.6648 Å; angles 90.00, 90.00, 90.00 degrees
Last column: nearest neighbours and their distance in Å.
Element x y z (fractional)
Al 0.0000 0.0000 0.0000  12 Fe 2.59
Fe 0.0000 0.5000 0.5000  2 H 1.83
Fe 0.5000 0.0000 0.5000  2 H 1.83
Fe 0.5000 0.5000 0.0000  2 H 1.83
H 0.5000 0.5000 0.5000  6 Fe 1.83

3.
Below is a relaxed PrSmAg2 crystal, with properties calculated at the PBE level.

Output
DFT formation energy = -26.6 kJ/mol of atoms
Space group = No. 123

Cell lengths 3.7175, 3.7175, 7.4961 Å; angles 90.00, 90.00, 90.00 degrees
Last column: nearest neighbours and their distance in Å.
Element x y z (fractional)
Pr 0.0000 0.0000 0.0000  8 Ag 3.28
Sm 0.0000 0.0000 0.5000  8 Ag 3.18
Ag 0.5000 0.5000 0.2622  4 Sm 3.18, 4 Pr 3.28
Ag 0.5000 0.5000 0.7378  4 Sm 3.18, 4 Pr 3.28